(1)
YGa3Pb | meta-GGA SCAN | PBEsol geometry

Cell: 5.3331 5.3331 5.3331 Å, 90.00 90.00 90.00°
Positions (direct):
Pb: 0.5000 0.5000 0.5000
Y: 0.0000 0.0000 0.0000
Ga: 0.0000 0.5000 0.0000
Ga: 0.0000 0.0000 0.5000
Ga: 0.5000 0.0000 0.0000

Summary:
Energy relative to the elements ... 0.590 eV/atom

***

(2)
ZnGaPb3 | meta-GGA SCAN | PBEsol geometry

Cell: 5.2951 5.2951 5.2951 Å, 90.00 90.00 90.00°
Positions (direct):
Pb: 0.0000 0.5000 0.0000
Pb: 0.0000 0.0000 0.5000
Pb: 0.5000 0.0000 0.0000
Zn: 0.0000 0.0000 0.0000
Ga: 0.5000 0.5000 0.5000

Summary:
Energy relative to the elements ... 0.424 eV/atom

***

(3)
Zr5GaPb3 | meta-GGA SCAN | PBEsol geometry

Cell: 5.8744 8.7062 8.7062 Å, 120.00 90.00 90.00°
Positions (direct):
Zr: 0.5000 0.6667 0.3333
Zr: 0.5000 0.3333 0.6667
Zr: 0.0000 0.3333 0.6667
Zr: 0.0000 0.6667 0.3333
Zr: 0.7500 0.2641 0.2641
Zr: 0.7500 0.0000 0.7359
Zr: 0.7500 0.7359 0.0000
Zr: 0.2500 0.7359 0.7359
Zr: 0.2500 0.0000 0.2641
Zr: 0.2500 0.2641 0.0000
Ga: 0.5000 0.0000 0.0000
Ga: 0.0000 0.0000 0.0000
Pb: 0.7500 0.6122 0.6122
Pb: 0.7500 0.0000 0.3878
Pb: 0.7500 0.3878 0.0000
Pb: 0.2500 0.3878 0.3878
Pb: 0.2500 0.0000 0.6122
Pb: 0.2500 0.6122 0.0000

Summary:
Energy relative to the elements ... -0.628 eV/atom

***

(4)
Ga2Pd5 | meta-GGA SCAN | PBEsol geometry

Cell: 4.0484 5.4020 18.3174 Å, 90.00 90.00 90.00°
Positions (direct):
Ga: 0.2500 0.7997 0.0436
Ga: 0.7500 0.2003 0.9564
Ga: 0.2500 0.2997 0.4564
Ga: 0.7500 0.7003 0.5436
Ga: 0.2500 0.3322 0.1762
Ga: 0.7500 0.6678 0.8238
Ga: 0.2500 0.8322 0.3238
Ga: 0.7500 0.1678 0.6762
Pd: 0.2500 0.8637 0.7655
Pd: 0.7500 0.1363 0.2345
Pd: 0.2500 0.3637 0.7345
Pd: 0.7500 0.6363 0.2655
Pd: 0.2500 0.3300 0.0306
Pd: 0.7500 0.6700 0.9694
Pd: 0.2500 0.8300 0.4694
Pd: 0.7500 0.1700 0.5306
Pd: 0.2500 0.9648 0.9109
Pd: 0.7500 0.0352 0.0891
Pd: 0.2500 0.4648 0.5891
Pd: 0.7500 0.5352 0.4109
Pd: 0.2500 0.8347 0.1801
Pd: 0.7500 0.1653 0.8199
Pd: 0.2500 0.3347 0.3199
Pd: 0.7500 0.6653 0.6801
Pd: 0.2500 0.9636 0.6176
Pd: 0.7500 0.0364 0.3824
Pd: 0.2500 0.4636 0.8824
Pd: 0.7500 0.5364 0.1176

Summary:
Energy relative to the elements ... -0.565 eV/atom

***

(5)
GaPd3 | meta-GGA SCAN | PBEsol geometry

Cell: 4.3683 5.5030 5.5030 Å, 120.00 90.00 90.00°
Positions (direct):
Ga: 0.7500 0.3333 0.6667
Ga: 0.2500 0.6667 0.3333
Pd: 0.2500 0.6639 0.8319
Pd: 0.2500 0.1681 0.3361
Pd: 0.2500 0.1681 0.8319
Pd: 0.7500 0.3361 0.1681
Pd: 0.7500 0.8319 0.6639
Pd: 0.7500 0.8319 0.1681

Summary:
Energy relative to the elements ... -0.437 eV/atom

***

(6)
Ga3Pd5 | meta-GGA SCAN | PBEsol geometry

Cell: 3.9945 5.4163 10.5346 Å, 90.00 90.00 90.00°
Positions (direct):
Ga: 0.0000 0.8415 0.6452
Ga: 0.0000 0.3415 0.8548
Ga: 0.5000 0.5000 0.5000
Ga: 0.0000 0.1585 0.3548
Ga: 0.5000 0.0000 0.0000
Ga: 0.0000 0.6585 0.1452
Pd: 0.0000 0.8091 0.8949
Pd: 0.0000 0.6909 0.3949
Pd: 0.0000 0.3091 0.6051
Pd: 0.5000 0.9109 0.2335
Pd: 0.5000 0.4109 0.2665
Pd: 0.5000 0.5891 0.7335
Pd: 0.5000 0.0891 0.7665
Pd: 0.5000 0.5000 0.0000
Pd: 0.5000 0.0000 0.5000
Pd: 0.0000 0.1909 0.1051

Summary:
Energy relative to the elements ... -0.633 eV/atom

***

(7)
GaPd | meta-GGA SCAN | PBEsol geometry

Cell: 3.0614 3.0614 3.0614 Å, 90.00 90.00 90.00°
Positions (direct):
Pd: 0.0000 0.0000 0.0000
Ga: 0.5000 0.5000 0.5000

Summary:
Energy relative to the elements ... -0.553 eV/atom

***

(8)
Ga5Pd13 | meta-GGA SCAN | PBEsol geometry

Cell: 4.0310 5.4190 12.2313 Å, 102.26 99.48 90.00°
Positions (direct):
Ga: 0.0000 0.0000 0.0000
Ga: 0.1060 0.6428 0.2120
Ga: 0.8940 0.3572 0.7880
Ga: 0.3235 0.6860 0.6471
Ga: 0.6765 0.3140 0.3529
Pd: 0.0000 0.5000 0.0000
Pd: 0.1129 0.1244 0.2257
Pd: 0.8871 0.8756 0.7743
Pd: 0.2129 0.5941 0.4258
Pd: 0.7871 0.4059 0.5742
Pd: 0.2247 0.1091 0.4495
Pd: 0.7753 0.8909 0.5505
Pd: 0.3396 0.1711 0.6793
Pd: 0.6604 0.8289 0.3207
Pd: 0.4302 0.6285 0.8604
Pd: 0.5698 0.3715 0.1396
Pd: 0.4545 0.1520 0.9091
Pd: 0.5455 0.8480 0.0909

Summary:
Energy relative to the elements ... -0.553 eV/atom

***

(9)
GaPd3 | meta-GGA SCAN | PBEsol geometry

Cell: 4.3296 4.3296 4.3296 Å, 60.00 60.00 60.00°
Positions (direct):
Pd: 0.2500 0.2500 0.2500
Pd: 0.7500 0.7500 0.7500
Pd: 0.5000 0.5000 0.5000
Ga: 0.0000 0.0000 0.0000

Summary:
Energy relative to the elements ... -0.431 eV/atom

***

(10)
GaPd | meta-GGA SCAN | PBEsol geometry

Cell: 4.8738 4.8738 4.8738 Å, 90.00 90.00 90.00°
Positions (direct):
Ga: 0.8433 0.8433 0.8433
Ga: 0.6567 0.1567 0.3433
Ga: 0.3433 0.6567 0.1567
Ga: 0.1567 0.3433 0.6567
Pd: 0.1429 0.1429 0.1429
Pd: 0.3571 0.8571 0.6429
Pd: 0.6429 0.3571 0.8571
Pd: 0.8571 0.6429 0.3571

Summary:
Energy relative to the elements ... -0.670 eV/atom

***

(11)
GaPd3 | meta-GGA SCAN | PBEsol geometry

Cell: 3.8532 3.8532 3.8532 Å, 90.00 90.00 90.00°
Positions (direct):
Pd: 0.5000 0.0000 0.0000
Pd: 0.0000 0.0000 0.5000
Pd: 0.0000 0.5000 0.0000
Ga: 0.5000 0.5000 0.5000

Summary:
Energy relative to the elements ... -0.438 eV/atom

***

(12)
Ga5Pd | meta-GGA SCAN | PBEsol geometry

Cell: 6.3822 6.6989 6.3822 Å, 118.45 90.00 118.45°
Positions (direct):
Ga: 0.0000 0.0000 0.0000
Ga: 0.5000 0.0000 0.5000
Ga: 0.2150 0.7219 0.0069
Ga: 0.7150 0.7219 0.2150
Ga: 0.0069 0.7219 0.5069
Ga: 0.2850 0.2781 0.7850
Ga: 0.9931 0.2781 0.4931
Ga: 0.4931 0.2781 0.2850
Ga: 0.7850 0.2781 0.9931
Ga: 0.5069 0.7219 0.7150
Pd: 0.7500 0.5000 0.7500
Pd: 0.2500 0.5000 0.2500

Summary:
Energy relative to the elements ... -0.247 eV/atom

***

Q: Among the records above, which one has the highest energy relative to the elements?
A: YGa3Pb